Computed, not measured: a PBEsol-optimized structure of BeWCl2 at the SCAN level of DFT. Values from VASP.

```
&SYSTEM
  ibrav = 0, nat = 4, ntyp = 3
/
ATOMIC_SPECIES
Be 9.01 Be.upf
W 183.84 W.upf
Cl 35.45 Cl.upf
CELL_PARAMETERS angstrom
0.000 3.202 3.202
3.202 0.000 3.202
3.202 3.202 0.000
ATOMIC_POSITIONS angstrom
Be 0.000 0.000 0.000
W 4.803 4.803 4.803
Cl 1.601 1.601 1.601
Cl 3.202 3.202 3.202
```

Properties
ΔE to the lowest computed polymorph = 1.6263 eV per atom
Raw formation energy = 1.47 eV per atom
Volume = 66 Å³/f.u.
Size of the total moment = 4.00 μB per cell
D(E_F) = 0.68 states/eV/atom

---

Computed, not measured: a PBEsol-optimized structure of FeReP2Os at the SCAN level of DFT. Values from VASP.

```
&SYSTEM
  ibrav = 0, nat = 5, ntyp = 4
/
ATOMIC_SPECIES
Fe 55.84 Fe.upf
Re 186.21 Re.upf
P 30.97 P.upf
Os 190.23 Os.upf
CELL_PARAMETERS angstrom
4.426 0.000 0.000
0.000 4.426 0.000
0.000 0.000 4.487
ATOMIC_POSITIONS angstrom
Fe 0.000 0.000 0.000
Re 0.000 0.000 2.244
P 0.000 2.213 2.244
P 2.213 0.000 2.244
Os 2.213 2.213 0.000
```

Properties
Volume = 88 Å³/f.u.
Size of the total moment = 1.08 μB per cell
D(E_F) = 0.63 states/eV/atom
E_form = 1.62 eV per atom

---

Computed, not measured: a PBEsol-optimized structure of MnP2W at the SCAN level of DFT. Values from VASP.

```
&SYSTEM
  ibrav = 0, nat = 4, ntyp = 3
/
ATOMIC_SPECIES
Mn 54.94 Mn.upf
P 30.97 P.upf
W 183.84 W.upf
CELL_PARAMETERS angstrom
-1.562 1.578 5.282
1.562 -1.578 5.282
1.562 1.578 -5.282
ATOMIC_POSITIONS angstrom
Mn 0.000 0.000 0.000
P 1.562 0.000 1.701
P 0.000 0.000 4.549
W 0.000 1.578 2.706
```

Properties
Volume = 52 Å³/f.u.
Size of the total moment = 1.98 μB per cell
D(E_F) = 0.45 states/eV/atom
E_form = -0.39 eV per atom

---

Computed, not measured: a PBEsol-optimized structure of AgAs2Se at the SCAN level of DFT. Values from VASP.

```
&SYSTEM
  ibrav = 0, nat = 4, ntyp = 3
/
ATOMIC_SPECIES
Ag 107.87 Ag.upf
As 74.92 As.upf
Se 78.96 Se.upf
CELL_PARAMETERS angstrom
3.833 0.000 0.000
0.000 3.833 0.000
0.000 0.000 5.255
ATOMIC_POSITIONS angstrom
Ag 0.000 0.000 0.000
As 0.000 1.917 2.627
As 1.917 0.000 2.627
Se 1.917 1.917 0.000
```

Properties
Raw formation energy = 0.41 eV per atom
Volume = 77 Å³/f.u.
Size of the total moment = 0.00 μB per cell
D(E_F) = 0.42 states/eV/atom

---

Computed, not measured: a PBEsol-optimized structure of CeMg2Cu at the SCAN level of DFT. Values from VASP.

```
&SYSTEM
  ibrav = 0, nat = 4, ntyp = 3
/
ATOMIC_SPECIES
Ce 140.12 Ce.upf
Mg 24.30 Mg.upf
Cu 63.55 Cu.upf
CELL_PARAMETERS angstrom
0.000 3.448 3.448
3.448 0.000 3.448
3.448 3.448 0.000
ATOMIC_POSITIONS angstrom
Ce 0.000 0.000 0.000
Mg 1.724 1.724 1.724
Mg 5.171 5.171 5.171
Cu 3.448 3.448 3.448
```

Properties
Volume = 82 Å³/f.u.
Size of the total moment = 1.09 μB per cell
D(E_F) = 1.53 states/eV/atom
E_form = 0.14 eV per atom

---

Computed, not measured: a PBEsol-optimized structure of LaNb3Ag at the SCAN level of DFT. Values from VASP.

```
&SYSTEM
  ibrav = 0, nat = 5, ntyp = 3
/
ATOMIC_SPECIES
La 138.91 La.upf
Nb 92.91 Nb.upf
Ag 107.87 Ag.upf
CELL_PARAMETERS angstrom
4.988 0.000 0.000
0.000 4.988 0.000
0.000 0.000 4.988
ATOMIC_POSITIONS angstrom
La 0.000 0.000 0.000
Nb 0.000 2.494 2.494
Nb 2.494 0.000 2.494
Nb 2.494 2.494 0.000
Ag 2.494 2.494 2.494
```

Properties
Volume = 124 Å³/f.u.
Size of the total moment = 4.65 μB per cell
D(E_F) = 1.19 states/eV/atom
E_form = 1.37 eV per atom

---

Computed, not measured: a PBEsol-optimized structure of Cs3Se2O8 at the SCAN level of DFT. Values from VASP.

```
&SYSTEM
  ibrav = 0, nat = 13, ntyp = 3
/
ATOMIC_SPECIES
Cs 132.91 Cs.upf
Se 78.96 Se.upf
O 16.00 O.upf
CELL_PARAMETERS angstrom
5.454 -3.150 0.000
5.454 3.150 0.000
-3.644 0.000 7.687
ATOMIC_POSITIONS angstrom
Cs 0.000 0.000 0.000
Cs -0.006 0.000 4.715
Cs 7.270 0.000 2.971
Se 3.633 0.000 1.762
Se 3.631 0.000 5.924
O 2.838 1.368 5.396
O 2.054 0.000 2.298
O 4.425 1.368 2.290
O 3.628 0.000 0.091
O 3.636 0.000 7.596
O 2.838 -1.368 5.396
O 5.210 0.000 5.388
O 4.425 -1.368 2.290
```

Properties
Raw formation energy = -1.31 eV per atom
Volume = 264 Å³/f.u.
Size of the total moment = 1.04 μB per cell
D(E_F) = 0.99 states/eV/atom

---

Computed, not measured: a PBEsol-optimized structure of CaZrIr2 at the SCAN level of DFT. Values from VASP.

```
&SYSTEM
  ibrav = 0, nat = 4, ntyp = 3
/
ATOMIC_SPECIES
Ca 40.08 Ca.upf
Zr 91.22 Zr.upf
Ir 192.22 Ir.upf
CELL_PARAMETERS angstrom
3.202 0.000 0.000
0.000 3.202 0.000
0.000 0.000 7.157
ATOMIC_POSITIONS angstrom
Ca 0.000 0.000 0.000
Zr 0.000 0.000 3.579
Ir 1.601 1.601 2.012
Ir 1.601 1.601 5.146
```

Properties
Volume = 73 Å³/f.u.
Size of the total moment = 0.00 μB per cell
D(E_F) = 0.25 states/eV/atom
E_form = -0.81 eV per atom

---

Computed, not measured: a PBEsol-optimized structure of ScMoCl2 at the SCAN level of DFT. Values from VASP.

```
&SYSTEM
  ibrav = 0, nat = 4, ntyp = 3
/
ATOMIC_SPECIES
Sc 44.96 Sc.upf
Mo 95.94 Mo.upf
Cl 35.45 Cl.upf
CELL_PARAMETERS angstrom
2.942 0.000 0.000
0.000 2.942 0.000
0.000 0.000 9.688
ATOMIC_POSITIONS angstrom
Sc 0.000 0.000 0.000
Mo 0.000 0.000 4.844
Cl 1.471 1.471 1.547
Cl 1.471 1.471 8.140
```

Properties
ΔE to the lowest computed polymorph = 0.4610 eV per atom
Raw formation energy = -0.23 eV per atom
Volume = 84 Å³/f.u.
Size of the total moment = 2.64 μB per cell
D(E_F) = 0.61 states/eV/atom

---

Computed, not measured: a PBEsol-optimized structure of HfH2F at the SCAN level of DFT. Values from VASP.

```
&SYSTEM
  ibrav = 0, nat = 8, ntyp = 3
/
ATOMIC_SPECIES
Hf 178.49 Hf.upf
H 1.01 H.upf
F 19.00 F.upf
CELL_PARAMETERS angstrom
-1.635 1.635 6.645
1.635 -1.635 6.645
1.635 1.635 -6.645
ATOMIC_POSITIONS angstrom
Hf 0.000 0.000 0.000
Hf 0.000 1.635 3.322
H 0.817 0.571 -1.661
H 1.064 -0.817 8.306
H 0.817 1.064 4.983
H 0.571 2.452 1.661
F 1.635 0.000 3.322
F 0.000 0.000 6.645
```

Properties
Calculated total energy = -19.139 eV per atom
Volume = 36 Å³/f.u.
Size of the total moment = 0.00 μB per cell
D(E_F) = 0.24 states/eV/atom

---

Computed, not measured: a PBEsol-optimized structure of KI at the SCAN level of DFT. Values from VASP.

```
&SYSTEM
  ibrav = 0, nat = 4, ntyp = 2
/
ATOMIC_SPECIES
K 39.10 K.upf
I 126.90 I.upf
CELL_PARAMETERS angstrom
2.191 -6.574 0.000
2.191 6.574 0.000
0.000 0.000 5.544
ATOMIC_POSITIONS angstrom
K 2.191 5.059 4.158
K 2.191 -5.059 1.386
I 2.191 1.591 4.158
I 2.191 -1.591 1.386
```

Properties
Raw formation energy = -1.61 eV per atom
Volume = 80 Å³/f.u.
Size of the total moment = 0.00 μB per cell
D(E_F) = 0.00 states/eV/atom

---

Computed, not measured: a PBEsol-optimized structure of ZrPd3 at the SCAN level of DFT. Values from VASP.

```
&SYSTEM
  ibrav = 0, nat = 8, ntyp = 2
/
ATOMIC_SPECIES
Zr 91.22 Zr.upf
Pd 106.42 Pd.upf
CELL_PARAMETERS angstrom
5.596 0.000 0.000
-2.798 4.846 0.000
0.000 0.000 4.604
ATOMIC_POSITIONS angstrom
Zr 0.000 3.231 1.151
Zr 2.798 1.615 3.453
Pd 0.000 1.590 3.453
Pd -1.421 4.051 3.453
Pd 1.377 0.795 1.151
Pd 1.421 4.051 3.453
Pd 4.218 0.795 1.151
Pd 2.798 3.256 1.151
```

Properties
Volume = 62 Å³/f.u.
Size of the total moment = 0.00 μB per cell
D(E_F) = 0.29 states/eV/atom
E_form = -0.88 eV per atom

---

Computed, not measured: a PBEsol-optimized structure of LaMg2Ni2 at the SCAN level of DFT. Values from VASP.

```
&SYSTEM
  ibrav = 0, nat = 5, ntyp = 3
/
ATOMIC_SPECIES
La 138.91 La.upf
Mg 24.30 Mg.upf
Ni 58.69 Ni.upf
CELL_PARAMETERS angstrom
-2.009 2.009 5.830
2.009 -2.009 5.830
2.009 2.009 -5.830
ATOMIC_POSITIONS angstrom
La 0.000 0.000 0.000
Mg 2.009 0.000 2.915
Mg 0.000 2.009 2.915
Ni 0.000 0.000 4.667
Ni 0.000 0.000 6.992
```

Properties
Volume = 94 Å³/f.u.
Size of the total moment = 0.00 μB per cell
D(E_F) = 0.54 states/eV/atom
E_form = -0.22 eV per atom